No. 1
Density functional theory data (PBEsol) for a relaxed LaCd2Os crystal.

abc: 4.234 4.234 9.265
angles: 90.00 90.00 90.00
Space group I4/mmm (No. 139)
Symmetry-distinct sites (fractional):
La 0.000 0.000 0.000 [2 per cell]
Cd 0.000 0.500 0.250 [4 per cell]
Os 0.000 0.000 0.500 [2 per cell]

Calculated values
Energy of formation from the pure elements, meV per atom: 125


No. 2
Density functional theory data (PBEsol) for a relaxed ScAgIN2 crystal.

abc: 4.081 4.081 6.114
angles: 90.00 90.00 90.00
Space group P4/mmm (No. 123)
Symmetry-distinct sites (fractional):
Sc 0.000 0.000 0.000 [1 per cell]
Ag 0.500 0.500 0.500 [1 per cell]
I 0.000 0.000 0.500 [1 per cell]
N 0.000 0.500 0.000 [2 per cell]

Calculated values
Energy, eV/atom: -5.1554